(1)
Below is a relaxed structure of Ca2PmAu, with properties calculated at the GGA-PBE level.

Summary:
Distance to the lowest polymorph of the same formula = 262 meV/atom
Magnetic moment = 0.00 μB/cell
Energy of formation from the pure elements = -129 meV per atom

a b c (Å): 3.7717 3.7717 33.5305
angles (deg): 90.00 90.00 120.00
Space group R-3m (No. 166, hexagonal axes)
Asymmetric unit:
1 Ca 0.0000 0.0000 0.1070 [6 per cell]
2 Pm 0.0000 0.0000 0.0000 [3 per cell]
3 Au 0.0000 0.0000 0.5000 [3 per cell]


(2)
Below is a relaxed structure of SrLiCo2, with properties calculated at the GGA-PBE level.

Summary:
Distance to the lowest polymorph of the same formula = 541 meV/atom
Magnetic moment = 5.28 μB/cell
Energy of formation from the pure elements = 733 meV per atom

a b c (Å): 5.302 8.693 3.087
angles (deg): 90.00 90.00 90.00
Space group Cmmm (No. 65)
Asymmetric unit:
1 Sr 0.000 0.000 0.000 [2 per cell]
2 Li 0.000 0.500 0.000 [2 per cell]
3 Co 0.250 0.250 0.500 [4 per cell]